# Te2HF (PBE, optimized geometry)
data_Te2HF
_chemical_formula_sum 'Te2 H1 F1'
_cell_length_a 8.363
_cell_length_b 8.363
_cell_length_c 8.363
_cell_angle_alpha 22.43
_cell_angle_beta 22.43
_cell_angle_gamma 22.43
_symmetry_space_group_name_H-M 'P 1'
_symmetry_Int_Tables_number 1
_symmetry_space_group_name_Hall 'P 1'
loop_
_atom_site_label
_atom_site_fract_x
_atom_site_fract_y
_atom_site_fract_z
Te1 0.081 0.081 0.081
Te2 0.919 0.919 0.919
H1 0.000 0.000 0.000
F1 0.500 0.500 0.500
# SG ... R-3m
# Total energy ... -0.2250 Ry per atom